Here is a geometry-optimized Tl2VSeO6 structure from the Alexandria database. Energies are from PBE+U.

Unit cell a=5.6338 b=5.6338 c=7.9832 alpha=90.00 beta=90.00 gamma=90.00
Space group I4/mmm (No. 139)
Unique sites:
Tl1 0.0000 0.5000 0.2500 [4 per cell]
V1 0.0000 0.0000 0.0000 [2 per cell]
Se1 0.0000 0.0000 0.5000 [2 per cell]
O1 0.0000 0.0000 0.2415 [4 per cell]
O2 0.2418 0.2418 0.0000 [8 per cell]

Output
As for the crystal system: tetragonal. The calculation puts the density of states at the Fermi level at 3.93 states/eV/f.u. The total magnetization is 0.00 μB/atom. The calculation puts the total energy at -107.11 eV for the cell shown.